Entry 1:
An optimized crystal structure of Nb3BiSe. Source: the Alexandria database, functional PBE-GGA.

a b c (Å): 5.1953 5.1953 5.1953
angles (deg): 90.00 90.00 90.00
With the nearest neighbours (Å) after each atom.
Positions (direct):
Nb 0.0000 0.5000 0.0000  2 Bi 2.60
Nb 0.0000 0.0000 0.5000  2 Bi 2.60
Nb 0.5000 0.0000 0.0000  2 Bi 2.60
Bi 0.0000 0.0000 0.0000  6 Nb 2.60
Se 0.5000 0.5000 0.5000  12 Nb 3.67

Properties
Raw formation energy (eV/atom): 1.931
Size of the total moment (μB/cell): 0.6
E_tot (eV/atom): -5.58

Entry 2:
An optimized crystal structure of Nb4BiSe8. Source: the Alexandria database, functional PBE-GGA.

a b c (Å): 6.9417 6.9417 8.9313
angles (deg): 90.00 112.87 120.00
With the nearest neighbours (Å) after each atom.
Positions (direct):
Nb 0.0000 0.0000 0.0000  6 Se 2.65
Nb 0.0000 0.5000 0.0000  6 Se 2.62-2.63
Nb 0.5000 0.5000 0.0000  6 Se 2.62-2.63
Nb 0.5000 0.0000 0.0000  6 Se 2.62-2.63
Bi 0.0000 0.5000 0.5000  6 Se 3.02
Se 0.4748 0.7374 0.2122  3 Nb 2.62
Se 0.5252 0.2626 0.7878  3 Nb 2.62
Se 0.4792 0.2396 0.2146  3 Nb 2.63-2.65
Se 0.0250 0.2646 0.7854  3 Nb 2.63-2.65
Se 0.5208 0.7604 0.7854  3 Nb 2.63-2.65
Se 0.0250 0.7604 0.7854  3 Nb 2.63-2.65
Se 0.9750 0.2396 0.2146  3 Nb 2.63-2.65
Se 0.9750 0.7354 0.2146  3 Nb 2.63-2.65

Properties
Raw formation energy (eV/atom): -0.669
Size of the total moment (μB/cell): 0.0
E_tot (eV/atom): -6.21

Entry 3:
An optimized crystal structure of Nb4BiSe8. Source: the Alexandria database, functional PBE-GGA.

a b c (Å): 7.6589 7.6589 7.6589
angles (deg): 60.00 60.00 60.00
With the nearest neighbours (Å) after each atom.
Positions (direct):
Nb 0.9446 0.3518 0.3518  6 Se 2.57-2.81
Nb 0.3518 0.9446 0.3518  6 Se 2.57-2.81
Nb 0.3518 0.3518 0.9446  6 Se 2.57-2.81
Nb 0.3518 0.3518 0.3518  6 Se 2.57-2.81
Bi 0.7500 0.7500 0.7500  4 Se 2.74
Se 0.6444 0.1185 0.1185  3 Nb 2.57
Se 0.1185 0.6444 0.1185  3 Nb 2.57
Se 0.1185 0.1185 0.6444  3 Nb 2.57
Se 0.1185 0.1185 0.1185  3 Nb 2.57
Se 0.1884 0.6039 0.6039  1 Bi 2.74, 3 Nb 2.81
Se 0.6039 0.1884 0.6039  1 Bi 2.74, 3 Nb 2.81
Se 0.6039 0.6039 0.1884  1 Bi 2.74, 3 Nb 2.81
Se 0.6039 0.6039 0.6039  1 Bi 2.74, 3 Nb 2.81

Properties
Raw formation energy (eV/atom): -0.699
Size of the total moment (μB/cell): 0.0
E_tot (eV/atom): -6.24

Entry 4:
An optimized crystal structure of Nb3BiSe. Source: the Alexandria database, functional PBE-GGA.

a b c (Å): 4.8108 4.8108 4.8108
angles (deg): 90.00 90.00 90.00
With the nearest neighbours (Å) after each atom.
Positions (direct):
Nb 0.0000 0.5000 0.0000  2 Se 2.41
Nb 0.0000 0.0000 0.5000  2 Se 2.41
Nb 0.5000 0.0000 0.0000  2 Se 2.41
Bi 0.5000 0.5000 0.5000  12 Nb 3.40
Se 0.0000 0.0000 0.0000  6 Nb 2.41

Properties
Raw formation energy (eV/atom): 0.550
Size of the total moment (μB/cell): 0.0
E_tot (eV/atom): -6.96